# CrCo2 PBE optimized geometry
data_CrCo2
_chemical_formula_sum 'Cr1 Co2'
_space_group_name_H-M_alt 'P 4/m m m'
_space_group_IT_number 123
_space_group_name_Hall '-P 4 2'
_cell_length_a 3.626
_cell_length_b 3.626
_cell_length_c 2.878
_cell_angle_alpha 90.00
_cell_angle_beta 90.00
_cell_angle_gamma 90.00
loop_
_atom_site_label
_atom_site_fract_x
_atom_site_fract_y
_atom_site_fract_z
Cr1 0.000 0.000 0.000
Co1 0.000 0.500 0.500
# ΔE_f = 0.72 eV/atom
# size of the total moment = 0.0 μB per formula unit

# Pm3ThSe6 PBE optimized geometry
data_Pm3ThSe6
_chemical_formula_sum 'Pm6 Th2 Se12'
_space_group_name_H-M_alt 'P 1 21/m 1'
_space_group_IT_number 11
_space_group_name_Hall '-P 2yb'
_cell_length_a 11.800
_cell_length_b 4.173
_cell_length_c 12.106
_cell_angle_alpha 90.00
_cell_angle_beta 108.14
_cell_angle_gamma 90.00
loop_
_atom_site_label
_atom_site_fract_x
_atom_site_fract_y
_atom_site_fract_z
Pm1 0.076 0.250 0.166
Pm2 0.179 0.750 0.502
Pm3 0.340 0.250 0.922
Th1 0.455 0.250 0.306
Se1 0.017 0.250 0.382
Se2 0.101 0.250 0.933
Se3 0.252 0.750 0.280
Se4 0.313 0.750 0.749
Se5 0.388 0.250 0.535
Se6 0.418 0.750 0.103
# electronic total energy = -6.0925 eV per atom
# size of the total moment = 0.0 μB per formula unit

# MgTeO3 PBE optimized geometry
data_MgTeO3
_chemical_formula_sum 'Mg4 Te4 O12'
_space_group_name_H-M_alt 'P n m a'
_space_group_IT_number 62
_space_group_name_Hall '-P 2ac 2n'
_cell_length_a 5.961
_cell_length_b 8.143
_cell_length_c 5.824
_cell_angle_alpha 90.00
_cell_angle_beta 90.00
_cell_angle_gamma 90.00
loop_
_atom_site_label
_atom_site_fract_x
_atom_site_fract_y
_atom_site_fract_z
Mg1 0.000 0.000 0.000
Te1 0.128 0.250 0.450
O1 0.077 0.750 0.083
O2 0.220 0.066 0.267
# electronic total energy = -5.6375 eV per atom
# size of the total moment = 0.0 μB per formula unit

# AuSe2Br PBE optimized geometry
data_AuSe2Br
_chemical_formula_sum 'Au3 Se6 Br3'
_space_group_name_H-M_alt 'R 3 m'
_space_group_IT_number 160
_space_group_name_Hall 'R 3 -2"'
_cell_length_a 3.8105
_cell_length_b 3.8105
_cell_length_c 24.6409
_cell_angle_alpha 90.00
_cell_angle_beta 90.00
_cell_angle_gamma 120.00
loop_
_atom_site_label
_atom_site_fract_x
_atom_site_fract_y
_atom_site_fract_z
Au1 0.0000 0.0000 0.0000
Se1 0.0000 0.0000 0.2689
Se2 0.0000 0.0000 0.5379
Br1 0.0000 0.0000 0.7345
# electronic total energy = -2.8739 eV per atom
# size of the total moment = 0.0 μB per formula unit